LaSb6Pd12: relaxed, PBE. Values from VASP.

Quantum ESPRESSO input file:
```
&SYSTEM
  ibrav = 0, nat = 19, ntyp = 3
/
ATOMIC_SPECIES
La 138.91 La.upf
Sb 121.76 Sb.upf
Pd 106.42 Pd.upf
CELL_PARAMETERS angstrom
5.979 3.452 3.092
-5.979 3.452 3.092
0.000 -6.904 3.092
ATOMIC_POSITIONS crystal
La 0.000 0.000 0.000
Sb 0.262 0.262 0.678
Sb 0.262 0.678 0.262
Sb 0.322 0.738 0.738
Sb 0.678 0.262 0.262
Sb 0.738 0.322 0.738
Sb 0.738 0.738 0.322
Pd 0.121 0.500 0.879
Pd 0.121 0.879 0.500
Pd 0.122 0.365 0.365
Pd 0.365 0.122 0.365
Pd 0.365 0.365 0.122
Pd 0.500 0.121 0.879
Pd 0.500 0.879 0.121
Pd 0.635 0.635 0.878
Pd 0.635 0.878 0.635
Pd 0.878 0.635 0.635
Pd 0.879 0.121 0.500
Pd 0.879 0.500 0.121
```

Calculated values
The space group is R-3m (166). The electronic total energy is -5.2603 eV/atom. The value obtained for the formation energy without anion corrections is -419.5 meV per atom.